[1]
The following is a DFT calculation (GGA-PBE) of a relaxed LiNi2Os crystal.

Structure (CIF):
```
data_LiNi2Os
_cell_length_a 3.596
_cell_length_b 3.596
_cell_length_c 7.252
_cell_angle_alpha 90.00
_cell_angle_beta 90.00
_cell_angle_gamma 90.00
_space_group_name_H-M_alt 'I -4 m 2'
_space_group_IT_number 119
_space_group_name_Hall 'I -4 -2'
loop_
_atom_site_label
_atom_site_type_symbol
_atom_site_fract_x
_atom_site_fract_y
_atom_site_fract_z
Li1 Li 0.000 0.000 0.000
Ni1 Ni 0.000 0.000 0.500
Ni2 Ni 0.000 0.500 0.750
Os1 Os 0.000 0.500 0.250
```

Energy of formation from the pure elements   0.26 eV/atom
ΔE to the lowest computed polymorph   0.2472 eV/atom

---

[2]
The following is a DFT calculation (GGA-PBE) of a relaxed LiNiOsRu crystal.

Structure (CIF):
```
data_LiNiOsRu
_cell_length_a 5.898
_cell_length_b 5.898
_cell_length_c 5.898
_cell_angle_alpha 90.00
_cell_angle_beta 90.00
_cell_angle_gamma 90.00
_space_group_name_H-M_alt 'F -4 3 m'
_space_group_IT_number 216
_space_group_name_Hall 'F -4 2 3'
loop_
_atom_site_label
_atom_site_type_symbol
_atom_site_fract_x
_atom_site_fract_y
_atom_site_fract_z
Li1 Li 0.000 0.000 0.000
Ni1 Ni 0.250 0.250 0.250
Os1 Os 0.000 0.000 0.500
Ru1 Ru 0.250 0.250 0.750
```

Energy of formation from the pure elements   0.18 eV/atom

---

[3]
The following is a DFT calculation (GGA-PBE) of a relaxed LiTaNiOs crystal.

Structure (CIF):
```
data_LiTaNiOs
_cell_length_a 6.068
_cell_length_b 6.068
_cell_length_c 6.068
_cell_angle_alpha 90.00
_cell_angle_beta 90.00
_cell_angle_gamma 90.00
_space_group_name_H-M_alt 'F -4 3 m'
_space_group_IT_number 216
_space_group_name_Hall 'F -4 2 3'
loop_
_atom_site_label
_atom_site_type_symbol
_atom_site_fract_x
_atom_site_fract_y
_atom_site_fract_z
Li1 Li 0.000 0.000 0.000
Ta1 Ta 0.000 0.000 0.500
Ni1 Ni 0.250 0.250 0.750
Os1 Os 0.250 0.250 0.250
```

Energy of formation from the pure elements   -0.13 eV/atom

---

[4]
The following is a DFT calculation (GGA-PBE) of a relaxed Li3Tb2Ni12Os crystal.

Structure (CIF):
```
data_Li3Tb2Ni12Os
_cell_length_a 5.0952
_cell_length_b 5.0952
_cell_length_c 34.5048
_cell_angle_alpha 90.00
_cell_angle_beta 90.00
_cell_angle_gamma 120.00
_space_group_name_H-M_alt 'R -3 m'
_space_group_IT_number 166
_space_group_name_Hall '-R 3 2"'
loop_
_atom_site_label
_atom_site_type_symbol
_atom_site_fract_x
_atom_site_fract_y
_atom_site_fract_z
Li1 Li 0.0000 0.5000 0.0000
Tb1 Tb 0.0000 0.0000 0.1426
Ni1 Ni 0.9998 0.4999 0.1092
Ni2 Ni 0.0190 0.5095 0.6105
Os1 Os 0.0000 0.0000 0.5000
```

Energy of formation from the pure elements   0.10 eV/atom

---

[5]
The following is a DFT calculation (GGA-PBE) of a relaxed LiNi2TeOs crystal.

Structure (CIF):
```
data_LiNi2TeOs
_cell_length_a 4.643
_cell_length_b 4.643
_cell_length_c 4.921
_cell_angle_alpha 90.00
_cell_angle_beta 90.00
_cell_angle_gamma 90.00
_space_group_name_H-M_alt 'P 4/m m m'
_space_group_IT_number 123
_space_group_name_Hall '-P 4 2'
loop_
_atom_site_label
_atom_site_type_symbol
_atom_site_fract_x
_atom_site_fract_y
_atom_site_fract_z
Li1 Li 0.000 0.000 0.000
Ni1 Ni 0.000 0.500 0.500
Te1 Te 0.500 0.500 0.500
Os1 Os 0.500 0.500 0.000
```

Uncorrected formation energy   1118 meV/atom

---

[6]
The following is a DFT calculation (GGA-PBE) of a relaxed LiVNiOs crystal.

Structure (CIF):
```
data_LiVNiOs
_cell_length_a 5.823
_cell_length_b 5.823
_cell_length_c 5.823
_cell_angle_alpha 90.00
_cell_angle_beta 90.00
_cell_angle_gamma 90.00
_space_group_name_H-M_alt 'F -4 3 m'
_space_group_IT_number 216
_space_group_name_Hall 'F -4 2 3'
loop_
_atom_site_label
_atom_site_type_symbol
_atom_site_fract_x
_atom_site_fract_y
_atom_site_fract_z
Li1 Li 0.000 0.000 0.000
V1 V 0.000 0.000 0.500
Ni1 Ni 0.250 0.250 0.250
Os1 Os 0.250 0.250 0.750
```

Energy of formation from the pure elements   -0.06 eV/atom

---

[7]
The following is a DFT calculation (GGA-PBE) of a relaxed LiNiOsW crystal.

Structure (CIF):
```
data_LiNiOsW
_cell_length_a 5.987
_cell_length_b 5.987
_cell_length_c 5.987
_cell_angle_alpha 90.00
_cell_angle_beta 90.00
_cell_angle_gamma 90.00
_space_group_name_H-M_alt 'F -4 3 m'
_space_group_IT_number 216
_space_group_name_Hall 'F -4 2 3'
loop_
_atom_site_label
_atom_site_type_symbol
_atom_site_fract_x
_atom_site_fract_y
_atom_site_fract_z
Li1 Li 0.000 0.000 0.000
Ni1 Ni 0.250 0.250 0.750
Os1 Os 0.250 0.250 0.250
W1 W 0.000 0.000 0.500
```

Energy of formation from the pure elements   0.07 eV/atom

---

[8]
The following is a DFT calculation (GGA-PBE) of a relaxed LiYNi2Os crystal.

Structure (CIF):
```
data_LiYNi2Os
_cell_length_a 4.140
_cell_length_b 4.140
_cell_length_c 4.370
_cell_angle_alpha 90.00
_cell_angle_beta 90.00
_cell_angle_gamma 90.00
_space_group_name_H-M_alt 'P 4/m m m'
_space_group_IT_number 123
_space_group_name_Hall '-P 4 2'
loop_
_atom_site_label
_atom_site_type_symbol
_atom_site_fract_x
_atom_site_fract_y
_atom_site_fract_z
Li1 Li 0.000 0.000 0.000
Y1 Y 0.500 0.500 0.500
Ni1 Ni 0.000 0.500 0.000
Os1 Os 0.000 0.000 0.500
```

Energy of formation from the pure elements   0.43 eV/atom

---

The density of states at the Fermi level results, record by record, are as follows: 11.56, 20.88, 4.98, 82.46, 3.56, 7.81, 16.13, 6.22 states/eV/cell.
The energy results, record by record, are as follows: -5.915, -6.868, -7.820, -5.211, -4.452, -7.074, -7.901, -5.806 eV/atom.